Record 1
{
  "formula": "HfGaBi2",
  "functional": "PBE",
  "state": "optimized geometry",
  "cell": [[-1.7956, 0.7141, 2.7305], [-0.0638, -2.1432, 2.5676], [8.5487, 4.8159, 6.4113]],
  "species": ["Bi", "Bi", "Hf", "Ga"],
  "frac_coords": [[0.9057, 0.9057, 0.2828], [0.0943, 0.0943, 0.7172], [0.5000, 0.5000, 0.5000], [0.0000, 0.0000, 0.0000]],
  "formation_energy_mev_per_atom": 57,
  "energy_ev_per_atom": -5.129,
  "n_ef_per_ev_fu": 2.35
}

=====

Record 2
{
  "formula": "LiReTe",
  "functional": "PBE",
  "state": "optimized geometry",
  "cell": [[4.3315, 0.0000, 0.0000], [2.1658, 3.7512, 0.0000], [2.1658, 1.2504, 3.5367]],
  "species": ["Te", "Re", "Li"],
  "frac_coords": [[0.7500, 0.7500, 0.7500], [0.5000, 0.5000, 0.5000], [0.0000, 0.0000, 0.0000]],
  "raw_formation_energy_ev_per_atom": 0.471,
  "energy_ev_per_atom": -5.364,
  "e_above_lowest_polymorph_mev_per_atom": 284,
  "n_ef_per_ev_fu": 1.41
}

=====

What is the formula in the first record?
HfGaBi2

=====

What did the second record say?
{
  "formula": "LiReTe",
  "functional": "PBE",
  "state": "optimized geometry",
  "cell": [[4.3315, 0.0000, 0.0000], [2.1658, 3.7512, 0.0000], [2.1658, 1.2504, 3.5367]],
  "species": ["Te", "Re", "Li"],
  "frac_coords": [[0.7500, 0.7500, 0.7500], [0.5000, 0.5000, 0.5000], [0.0000, 0.0000, 0.0000]],
  "raw_formation_energy_ev_per_atom": 0.471,
  "energy_ev_per_atom": -5.364,
  "e_above_lowest_polymorph_mev_per_atom": 284,
  "n_ef_per_ev_fu": 1.41
}

=====

Please write out number 2 again, unchanged.
{
  "formula": "LiReTe",
  "functional": "PBE",
  "state": "optimized geometry",
  "cell": [[4.3315, 0.0000, 0.0000], [2.1658, 3.7512, 0.0000], [2.1658, 1.2504, 3.5367]],
  "species": ["Te", "Re", "Li"],
  "frac_coords": [[0.7500, 0.7500, 0.7500], [0.5000, 0.5000, 0.5000], [0.0000, 0.0000, 0.0000]],
  "raw_formation_energy_ev_per_atom": 0.471,
  "energy_ev_per_atom": -5.364,
  "e_above_lowest_polymorph_mev_per_atom": 284,
  "n_ef_per_ev_fu": 1.41
}